Material: LiP2OF
Method: DFT, PBE
State: relaxed Values from VASP.

Computed properties:
The value obtained for the total energy is -3.48 eV/atom. The calculation puts the relative energy among the computed polymorphs at 0.26 eV/f.u. The uncorrected formation energy comes out at 0.432 eV per atom.

```
&SYSTEM
  ibrav = 0, nat = 5, ntyp = 4
/
ATOMIC_SPECIES
Li 6.94 Li.upf
P 30.97 P.upf
O 16.00 O.upf
F 19.00 F.upf
CELL_PARAMETERS angstrom
4.0287 0.0000 0.0000
0.0000 4.0287 0.0000
0.0000 0.0000 4.6947
ATOMIC_POSITIONS crystal
Li 0.0000 0.0000 0.0000
P 0.0000 0.5000 0.5000
P 0.5000 0.0000 0.5000
O 0.5000 0.5000 0.0000
F 0.5000 0.5000 0.5000
```